CeNd2SmAs4: optimized geometry, PBE.

a = 4.2430 Å, b = 7.3443 Å, c = 7.3489 Å
α = 109.40°, β = 90.00°, γ = 90.00°
Each line ends with the local moment (μB).
Fractional positions:
Nd (0.0000, 0.5000, 0.5000)  0.00
Nd (0.5000, 0.0000, 0.5000)  0.01
As (0.5000, 0.7496, 0.7550)  -0.01
As (0.0000, 0.2531, 0.7555)  -0.01
As (0.5000, 0.2504, 0.2450)  -0.01
As (0.0000, 0.7469, 0.2445)  -0.01
Sm (0.0000, 0.0000, 0.0000)  0.00
Ce (0.5000, 0.5000, 0.0000)  0.52

Computed properties:
Calculated total energy, eV per atom: -6.349
Total magnetic moment, μB/atom: 0.069
Space group: P2/m, No. 10
Volume, Å³/f.u.: 216.0